10
Lattice="5.7013 0.0000 0.0000 0.0000 5.7013 0.0000 2.8506 2.8506 5.2543" Properties=species:S:1:pos:R:3 comment="Cs2NiCF6 (PBE+U, optimized geometry)" volume_a3_per_cell=170.8 spacegroup="I4/mmm, No. 139" rho_g_cm3=4.380 n_ef_per_ev_fu=0.00 final_energy_ev_per_atom=-4.04 pbc="T T T"
Cs 5.7013 2.8506 2.6272
Cs 2.8506 5.7013 2.6272
Ni 0.0000 0.0000 0.0000
C 2.8506 2.8506 0.0000
F 2.8506 2.8506 3.3278
F 5.7013 5.7013 1.9265
F 1.5430 1.5430 0.0000
F 4.1583 4.1583 0.0000
F 4.1583 1.5430 0.0000
F 1.5430 4.1583 0.0000